Entry 1:
! Hf3GeH3 | the Alexandria database | GGA-PBE | optimized geometry; values from VASP
&SYSTEM
  ibrav = 0, nat = 14, ntyp = 3
/
ATOMIC_SPECIES
Ge 72.64 Ge.upf
Hf 178.49 Hf.upf
H 1.01 H.upf
CELL_PARAMETERS angstrom
5.974 0.000 0.000
2.987 5.173 0.000
2.987 1.724 6.048
ATOMIC_POSITIONS crystal
Ge 0.667 0.667 0.000
Ge 0.333 0.333 0.000
Hf 0.408 0.093 0.724
Hf 0.225 0.592 0.276
Hf 0.907 0.225 0.276
Hf 0.592 0.907 0.276
Hf 0.775 0.408 0.724
Hf 0.093 0.775 0.724
H 0.475 0.784 0.611
H 0.130 0.475 0.611
H 0.870 0.525 0.389
H 0.784 0.130 0.611
H 0.525 0.216 0.389
H 0.216 0.870 0.389
! Total energy (eV/atom): -6.74

***

Entry 2:
! Hf4Ge2H | the Alexandria database | GGA-PBE | optimized geometry; values from VASP
&SYSTEM
  ibrav = 0, nat = 14, ntyp = 3
/
ATOMIC_SPECIES
Ge 72.64 Ge.upf
Hf 178.49 Hf.upf
H 1.01 H.upf
CELL_PARAMETERS angstrom
-2.620 -6.690 0.634
1.261 0.189 7.099
-3.992 5.156 -3.089
ATOMIC_POSITIONS crystal
Ge 0.625 0.375 0.750
Ge 0.125 0.375 0.750
Ge 0.625 0.875 0.250
Ge 0.625 0.375 0.250
Hf 0.368 0.633 0.735
Hf 0.883 0.118 0.235
Hf 0.367 0.102 0.735
Hf 0.882 0.117 0.765
Hf 0.352 0.117 0.235
Hf 0.883 0.648 0.765
Hf 0.898 0.633 0.265
Hf 0.367 0.632 0.265
H 0.000 0.000 0.000
H 0.250 0.750 0.500
! Total energy (eV/atom): -7.73

***

Entry 3:
! Hf2GeH | the Alexandria database | GGA-PBE | optimized geometry; values from VASP
&SYSTEM
  ibrav = 0, nat = 8, ntyp = 3
/
ATOMIC_SPECIES
H 1.01 H.upf
Hf 178.49 Hf.upf
Ge 72.64 Ge.upf
CELL_PARAMETERS angstrom
6.383 0.000 0.000
0.000 6.383 0.000
3.191 3.191 3.075
ATOMIC_POSITIONS crystal
H 0.250 0.750 0.500
H 0.500 0.500 0.000
Hf 0.375 0.452 0.750
Hf 0.202 0.625 0.250
Hf 0.875 0.798 0.750
Hf 0.548 0.125 0.250
Ge 0.750 0.250 0.500
Ge 0.000 0.000 0.000
! Total energy (eV/atom): -7.41

***

Entry 4:
! Hf3GeH | the Alexandria database | GGA-PBE | optimized geometry; values from VASP
&SYSTEM
  ibrav = 0, nat = 5, ntyp = 3
/
ATOMIC_SPECIES
Hf 178.49 Hf.upf
Ge 72.64 Ge.upf
H 1.01 H.upf
CELL_PARAMETERS angstrom
-1.465 -3.051 2.702
3.656 0.286 2.305
-1.802 3.060 2.478
ATOMIC_POSITIONS crystal
Hf 0.000 0.000 0.500
Hf 0.500 0.000 0.000
Hf 0.000 0.500 0.000
Ge 0.500 0.500 0.500
H 0.000 0.000 0.000
! Total energy (eV/atom): -7.88

***

Entry 5:
! Hf2GeH2 | the Alexandria database | GGA-PBE | optimized geometry; values from VASP
&SYSTEM
  ibrav = 0, nat = 10, ntyp = 3
/
ATOMIC_SPECIES
Hf 178.49 Hf.upf
H 1.01 H.upf
Ge 72.64 Ge.upf
CELL_PARAMETERS angstrom
-4.654 4.031 2.073
-3.041 -4.980 2.855
1.554 0.497 2.522
ATOMIC_POSITIONS crystal
Hf 0.838 0.338 0.500
Hf 0.162 0.662 0.500
Hf 0.338 0.162 0.500
Hf 0.662 0.838 0.500
H 0.903 0.597 0.000
H 0.597 0.097 0.000
H 0.097 0.403 0.000
H 0.403 0.903 0.000
Ge 0.000 0.000 0.000
Ge 0.500 0.500 0.000
! Total energy (eV/atom): -6.35

***

Entry 6:
! HfGeH2 | the Alexandria database | GGA-PBE | optimized geometry; values from VASP
&SYSTEM
  ibrav = 0, nat = 4, ntyp = 3
/
ATOMIC_SPECIES
H 1.01 H.upf
Ge 72.64 Ge.upf
Hf 178.49 Hf.upf
CELL_PARAMETERS angstrom
0.000 2.782 2.782
2.782 0.000 2.782
2.782 2.782 0.000
ATOMIC_POSITIONS crystal
H 0.250 0.250 0.250
H 0.750 0.750 0.750
Ge 0.000 0.000 0.000
Hf 0.500 0.500 0.500
! Total energy (eV/atom): -5.09